Record 1
VASP calculation (GGA-PBE) on a relaxed structure of CaZrIn2O6.

Computed properties:
**ΔE_f (raw)**: -23.59 eV per formula unit
**D(E_F)**: 0.00 states/eV/cell

abc: 5.6291 5.6291 14.9442
angles: 90.00 90.00 120.00
Space group R3 (No. 146, hexagonal axes)
One atom of each set of equivalent atoms:
Ca 0.0000 0.0000 0.0000
Zr 0.0000 0.0000 0.4922
In 0.0000 0.0000 0.2811
In 0.0000 0.0000 0.7820
O 0.0237 0.3509 0.5504
O 0.0238 0.7310 0.3903

=====

Record 2
VASP calculation (GGA-PBE) on a relaxed structure of CaIn2Os.

Computed properties:
**Energy of formation**: 0.080 eV/atom
**D(E_F)**: 1.58 states/eV/cell

abc: 3.323 3.323 7.876
angles: 90.00 90.00 90.00
Space group P4/mmm (No. 123)
One atom of each set of equivalent atoms:
Ca 0.000 0.000 0.000
In 0.500 0.500 0.299
Os 0.000 0.000 0.500

=====

Record 3
VASP calculation (GGA-PBE) on a relaxed structure of CaInOs2.

Computed properties:
**Energy of formation**: 0.576 eV/atom
**D(E_F)**: 10.38 states/eV/cell

abc: 3.0053 3.0053 28.8216
angles: 90.00 90.00 120.00
Space group R3m (No. 160, hexagonal axes)
One atom of each set of equivalent atoms:
Ca 0.0000 0.0000 0.0000
In 0.0000 0.0000 0.2340
Os 0.0000 0.0000 0.4867
Os 0.0000 0.0000 0.7514